#1
LaH2I2 after structural relaxation, computed with GGA-PBE.

The structure belongs to space group P4/mbm (No. 127); the cell edges are 6.938, 6.938 and 4.518 Å and the angles 90.00°, 90.00° and 90.00°. The asymmetric unit holds La at (0.000, 0.000, 0.000), H at (0.177, 0.323, 0.000) and I at (0.171, 0.671, 0.500).

The value obtained for the calculated volume is 108.7 Å³/f.u.

=====

#2
LaH2I2 after structural relaxation, computed with GGA-PBE.

The structure belongs to space group I4/mmm (No. 139); the cell edges are 5.612, 5.612 and 7.793 Å and the angles 90.00°, 90.00° and 90.00°. The asymmetric unit holds La at (0.000, 0.000, 0.000), H at (0.000, 0.000, 0.451) and I at (0.000, 0.500, 0.250).

The value obtained for the calculated volume is 122.7 Å³/f.u.

=====

Energies relative to the minimum, meV per atom: #1 358; #2 0